A geometry-optimized FeHgPb4 structure. Source: Alexandria via LeMat-Bulk, functional PBE.

The calculation puts the formation enthalpy at 0 K at 650 meV/atom.

It has space group F-43m (No. 216), with a = 9.082 Å, b = 9.082 Å, c = 9.082 Å, α = 90.00°, β = 90.00° and γ = 90.00°. The asymmetric unit holds Fe at (0.000, 0.000, 0.000), Hg at (0.250, 0.250, 0.750) and Pb at (0.125, 0.125, 0.375).